First-principles (PBE) data for Li2Pm3Pd5 after structural relaxation, as listed in the Alexandria database.

## Properties
For the final energy, the calculation gives -101.76 eV/cell. The density of states at the Fermi level is 0.398 states/eV/atom.

Unit cell a=10.0448 b=10.0448 c=3.7831 alpha=90.00 beta=90.00 gamma=90.00
Closest atoms and distances in Å follow each position.
Atoms (fractional coordinates):
Li 0.1189 0.3811 0.0000  6 Pd 2.54-2.55
Li 0.3811 0.8811 0.0000  6 Pd 2.54-2.55
Li 0.6189 0.1189 0.0000  6 Pd 2.54-2.55
Li 0.8811 0.6189 0.0000  6 Pd 2.54-2.55
Pm 0.0000 0.0000 0.0000  8 Pd 2.98
Pm 0.1753 0.6753 0.0000  3 Li 2.92-3.01, 6 Pd 3.13-3.21
Pm 0.3247 0.1753 0.0000  3 Li 2.92-3.01, 6 Pd 3.13-3.21
Pm 0.5000 0.5000 0.0000  8 Pd 2.98
Pm 0.6753 0.8247 0.0000  3 Li 2.92-3.01, 6 Pd 3.13-3.21
Pm 0.8247 0.3247 0.0000  3 Li 2.92-3.01, 6 Pd 3.13-3.21
Pd 0.0000 0.5000 0.5000  4 Li 2.54
Pd 0.0701 0.2180 0.5000  2 Li 2.55
Pd 0.2180 0.9299 0.5000  2 Li 2.55
Pd 0.2820 0.4299 0.5000  2 Li 2.55
Pd 0.4299 0.7180 0.5000  2 Li 2.55
Pd 0.5000 0.0000 0.5000  4 Li 2.54
Pd 0.5701 0.2820 0.5000  2 Li 2.55
Pd 0.7180 0.5701 0.5000  2 Li 2.55
Pd 0.7820 0.0701 0.5000  2 Li 2.55
Pd 0.9299 0.7820 0.5000  2 Li 2.55